Record 1
## Pr2IClO2 (PBE)

Data for a relaxed Pr2IClO2 crystal.

a b c (Å): 4.056 4.056 8.416
angles (deg): 90.00 90.00 90.00
Element x y z (fractional)
I: 0.000 0.000 0.361
Pr: 0.500 0.500 0.131
Pr: 0.000 0.000 0.843
O: 0.500 0.000 0.991
O: 0.000 0.500 0.991
Cl: 0.500 0.500 0.683

SG: P4mm, No. 99
Magnetic moment in μB per formula unit: 0.01
Crystal system: tetragonal
Total DFT energy (no corrections) in eV/atom: -6.62



Record 2
## Sm2IClO2 (PBE)

Data for a relaxed Sm2IClO2 crystal.

a b c (Å): 3.974 3.974 8.036
angles (deg): 90.00 90.00 90.00
Element x y z (fractional)
Cl: 0.500 0.500 0.677
I: 0.000 0.000 0.370
Sm: 0.500 0.500 0.132
Sm: 0.000 0.000 0.841
O: 0.500 0.000 0.990
O: 0.000 0.500 0.990

SG: P4mm, No. 99
Magnetic moment in μB per formula unit: 0.00
Crystal system: tetragonal
Total DFT energy (no corrections) in eV/atom: -6.63



Record 3
## OsI4Cl (PBE)

Data for a relaxed OsI4Cl crystal.

a b c (Å): 6.970 7.373 9.816
angles (deg): 110.33 90.86 117.77
Each line ends with the local moment (μB).
Element x y z (fractional)
I: 0.753 0.806 0.037  0.03
I: 0.454 0.613 0.367  0.03
I: 0.876 0.399 0.164  0.06
I: 0.317 0.024 0.273  0.03
I: 0.124 0.601 0.836  0.06
I: 0.545 0.387 0.633  0.03
I: 0.683 0.976 0.727  0.03
I: 0.247 0.194 0.963  0.03
Cl: 0.061 0.820 0.580  0.07
Cl: 0.939 0.180 0.420  0.07
Os: 0.103 0.219 0.222  0.61
Os: 0.897 0.781 0.778  0.60

SG: P-1, No. 2
Magnetic moment in μB per formula unit: 0.99
Crystal system: triclinic
Total DFT energy (no corrections) in eV/atom: -3.15



Record 4
## Pr2PICl (PBE)

Data for a relaxed Pr2PICl crystal.

a b c (Å): 4.213 4.213 10.935
angles (deg): 90.00 90.00 120.00
Element x y z (fractional)
Pr: 0.000 0.000 0.156
Pr: 0.333 0.667 0.862
I: 0.000 0.000 0.666
P: 0.667 0.333 0.009
Cl: 0.333 0.667 0.307

SG: P3m1, No. 156
Magnetic moment in μB per formula unit: 0.01
Crystal system: trigonal
Total DFT energy (no corrections) in eV/atom: -5.41



Record 5
## Sm2PICl (PBE)

Data for a relaxed Sm2PICl crystal.

a b c (Å): 4.115 4.115 10.441
angles (deg): 90.00 90.00 120.00
Element x y z (fractional)
I: 0.667 0.333 0.344
P: 0.000 0.000 0.990
Cl: 0.333 0.667 0.684
Sm: 0.333 0.667 0.141
Sm: 0.667 0.333 0.841

SG: P3m1, No. 156
Magnetic moment in μB per formula unit: 0.00
Crystal system: trigonal
Total DFT energy (no corrections) in eV/atom: -5.39



Record 6
## Zr2PICl (PBE)

Data for a relaxed Zr2PICl crystal.

a b c (Å): 3.841 3.841 10.084
angles (deg): 90.00 90.00 120.00
Element x y z (fractional)
P: 0.000 0.000 0.008
Zr: 0.667 0.333 0.135
Zr: 0.333 0.667 0.880
Cl: 0.333 0.667 0.301
I: 0.667 0.333 0.676

SG: P3m1, No. 156
Magnetic moment in μB per formula unit: 0.00
Crystal system: trigonal
Total DFT energy (no corrections) in eV/atom: -6.52



Record 7
## Pa2I8Cl (PBE)

Data for a relaxed Pa2I8Cl crystal.

a b c (Å): 8.647 8.647 9.031
angles (deg): 92.05 92.05 108.32
Each line ends with the local moment (μB).
Element x y z (fractional)
I: 0.702 0.116 0.722  -0.02
I: 0.814 0.814 0.383  -0.01
I: 0.116 0.702 0.722  -0.02
I: 0.298 0.884 0.278  -0.02
I: 0.884 0.298 0.278  -0.02
I: 0.186 0.186 0.617  -0.01
I: 0.379 0.379 0.213  -0.02
I: 0.621 0.621 0.787  -0.02
Cl: 0.000 0.000 0.000  -0.01
Pa: 0.105 0.105 0.285  0.55
Pa: 0.895 0.895 0.715  0.55

SG: C2/m, No. 12
Magnetic moment in μB per formula unit: 0.99
Crystal system: monoclinic
Total DFT energy (no corrections) in eV/atom: -4.04



Record 8
## Pd2I3Cl3 (PBE)

Data for a relaxed Pd2I3Cl3 crystal.

a b c (Å): 6.671 6.294 6.673
angles (deg): 90.00 119.13 90.00
Element x y z (fractional)
Cl: 0.720 0.500 0.024
Cl: 0.991 0.000 0.269
Cl: 0.008 0.500 0.736
I: 0.337 0.500 0.354
I: 0.648 0.000 0.656
I: 0.302 0.000 0.959
Pd: 0.997 0.750 0.001
Pd: 0.997 0.250 0.001

SG: Pm, No. 6
Crystal system: monoclinic
Total DFT energy (no corrections) in eV/atom: -2.79



Record 9
## PdI2Cl (PBE)

Data for a relaxed PdI2Cl crystal.

a b c (Å): 6.409 6.927 6.927
angles (deg): 120.79 90.00 90.00
Element x y z (fractional)
Pd: 0.247 0.996 0.996
Pd: 0.753 0.996 0.996
Cl: 0.000 0.726 0.005
Cl: 0.000 0.005 0.726
I: 0.500 0.298 0.982
I: 0.000 0.337 0.337
I: 0.500 0.982 0.298
I: 0.500 0.661 0.661

SG: Amm2, No. 38
Crystal system: orthorhombic
Total DFT energy (no corrections) in eV/atom: -2.71



Record 10
## Pd2I5Cl (PBE)

Data for a relaxed Pd2I5Cl crystal.

a b c (Å): 6.495 7.019 7.019
angles (deg): 119.10 90.00 90.00
Element x y z (fractional)
Pd: 0.752 0.004 0.004
Pd: 0.248 0.004 0.004
I: 0.000 0.996 0.676
I: 0.500 0.331 0.017
I: 0.500 0.708 0.708
I: 0.500 0.017 0.331
I: 0.000 0.676 0.996
Cl: 0.000 0.265 0.265

SG: Amm2, No. 38
Crystal system: orthorhombic
Total DFT energy (no corrections) in eV/atom: -2.63



Record 11
## Rb2PdICl3 (PBE)

Data for a relaxed Rb2PdICl3 crystal.

a b c (Å): 4.503 7.516 7.516
angles (deg): 96.05 90.00 90.00
Element x y z (fractional)
Cl: 0.000 0.207 0.788
Cl: 0.000 0.788 0.207
Cl: 0.000 0.761 0.761
Rb: 0.500 0.520 0.971
Rb: 0.500 0.971 0.520
Pd: 0.000 0.998 0.998
I: 0.000 0.256 0.256

SG: Amm2, No. 38
Crystal system: orthorhombic
Total DFT energy (no corrections) in eV/atom: -3.30



Record 12
## Tl2PdI3Cl (PBE)

Data for a relaxed Tl2PdI3Cl crystal.

a b c (Å): 4.529 7.838 7.838
angles (deg): 85.57 90.00 90.00
Element x y z (fractional)
I: 0.000 0.749 0.244
I: 0.000 0.244 0.749
I: 0.000 0.223 0.223
Tl: 0.500 0.981 0.518
Tl: 0.500 0.518 0.981
Pd: 0.000 0.996 0.996
Cl: 0.000 0.788 0.788

SG: Amm2, No. 38
Crystal system: orthorhombic
Total DFT energy (no corrections) in eV/atom: -2.90



Record 13
## Pr2ICl5 (PBE)

Data for a relaxed Pr2ICl5 crystal.

a b c (Å): 7.483 4.322 7.776
angles (deg): 90.00 116.99 90.00
Element x y z (fractional)
Cl: 0.608 0.000 0.696
Cl: 0.100 0.000 0.394
Cl: 0.414 0.500 0.326
Cl: 0.905 0.500 0.582
Cl: 0.700 0.500 0.084
Pr: 0.336 0.500 0.659
Pr: 0.680 0.000 0.330
I: 0.257 0.000 0.929

SG: Pm, No. 6
Magnetic moment in μB per formula unit: 0.00
Crystal system: monoclinic
Total DFT energy (no corrections) in eV/atom: -4.67



Record 14
## Pr2SbICl (PBE)

Data for a relaxed Pr2SbICl crystal.

a b c (Å): 4.432 4.432 10.869
angles (deg): 90.00 90.00 120.00
Element x y z (fractional)
Pr: 0.000 0.000 0.842
Pr: 0.667 0.333 0.176
Sb: 0.333 0.667 0.010
Cl: 0.000 0.000 0.317
I: 0.667 0.333 0.655

SG: P3m1, No. 156
Magnetic moment in μB per formula unit: 0.00
Crystal system: trigonal
Total DFT energy (no corrections) in eV/atom: -4.93



Record 15
## Pr2Si2ICl (PBE)

Data for a relaxed Pr2Si2ICl crystal.

a b c (Å): 4.160 4.160 11.696
angles (deg): 90.00 90.00 120.00
Element x y z (fractional)
Pr: 0.000 0.000 0.820
Pr: 0.000 0.000 0.166
Si: 0.333 0.667 0.999
Si: 0.667 0.333 0.988
I: 0.667 0.333 0.352
Cl: 0.333 0.667 0.675

SG: P3m1, No. 156
Magnetic moment in μB per formula unit: 0.01
Crystal system: trigonal
Total DFT energy (no corrections) in eV/atom: -5.20



Record 16
## Tm2S2ICl (PBE)

Data for a relaxed Tm2S2ICl crystal.

a b c (Å): 4.009 5.307 8.807
angles (deg): 90.00 90.00 90.00
Element x y z (fractional)
S: 0.000 0.000 0.927
S: 0.500 0.500 0.090
Cl: 0.000 0.000 0.331
I: 0.500 0.500 0.632
Tm: 0.500 0.000 0.135
Tm: 0.000 0.500 0.884

SG: Pmm2, No. 25
Magnetic moment in μB per formula unit: 0.00
Crystal system: orthorhombic
Total DFT energy (no corrections) in eV/atom: -5.42



Record 17
## ZrSe2ICl (PBE)

Data for a relaxed ZrSe2ICl crystal.

a b c (Å): 7.013 7.050 7.777
angles (deg): 69.49 70.00 63.37
Element x y z (fractional)
Se: 0.063 0.080 0.696
Se: 0.937 0.920 0.304
Se: 0.254 0.972 0.102
Se: 0.746 0.028 0.898
I: 0.589 0.650 0.750
I: 0.411 0.350 0.250
Cl: 0.850 0.514 0.207
Cl: 0.150 0.486 0.793
Zr: 0.873 0.282 0.001
Zr: 0.127 0.718 0.999

SG: P-1, No. 2
Magnetic moment in μB per formula unit: 0.00
Crystal system: triclinic
Total DFT energy (no corrections) in eV/atom: -4.88



Record 18
## Sm2Si2ICl (PBE)

Data for a relaxed Sm2Si2ICl crystal.

a b c (Å): 4.110 4.110 11.308
angles (deg): 90.00 90.00 120.00
Element x y z (fractional)
I: 0.667 0.333 0.146
Si: 0.333 0.667 0.499
Si: 0.667 0.333 0.514
Sm: 0.000 0.000 0.681
Sm: 0.000 0.000 0.333
Cl: 0.333 0.667 0.827

SG: P3m1, No. 156
Magnetic moment in μB per formula unit: 0.00
Crystal system: trigonal
Total DFT energy (no corrections) in eV/atom: -5.17



Record 19
## TaI2Cl3 (PBE)

Data for a relaxed TaI2Cl3 crystal.

a b c (Å): 6.808 7.446 10.153
angles (deg): 108.91 92.47 112.97
Element x y z (fractional)
Cl: 0.888 0.352 0.131
Cl: 0.790 0.848 0.041
Cl: 0.112 0.648 0.869
Cl: 0.280 0.008 0.230
Cl: 0.210 0.152 0.959
Cl: 0.720 0.992 0.770
I: 0.084 0.814 0.575
I: 0.916 0.186 0.425
I: 0.448 0.567 0.316
I: 0.552 0.433 0.684
Ta: 0.099 0.205 0.201
Ta: 0.901 0.795 0.799

SG: P-1, No. 2
Magnetic moment in μB per formula unit: 0.00
Crystal system: triclinic
Distance to the lowest polymorph of the same formula in meV per atom: 7



Record 20
## TaI3Cl2 (PBE)

Data for a relaxed TaI3Cl2 crystal.

a b c (Å): 6.897 7.548 10.686
angles (deg): 107.95 93.39 112.01
Element x y z (fractional)
Ta: 0.896 0.782 0.784
Ta: 0.104 0.218 0.216
I: 0.553 0.430 0.676
I: 0.081 0.813 0.576
I: 0.447 0.570 0.324
I: 0.239 0.174 0.957
I: 0.761 0.826 0.043
I: 0.919 0.187 0.424
Cl: 0.898 0.367 0.148
Cl: 0.714 0.977 0.757
Cl: 0.102 0.633 0.852
Cl: 0.286 0.023 0.243

SG: P-1, No. 2
Magnetic moment in μB per formula unit: 0.01
Crystal system: triclinic
Distance to the lowest polymorph of the same formula in meV per atom: 0



Record 21
## TaI3Cl2 (PBE)

Data for a relaxed TaI3Cl2 crystal.

a b c (Å): 7.212 7.769 10.279
angles (deg): 110.56 90.46 115.73
Element x y z (fractional)
Ta: 0.902 0.797 0.796
Ta: 0.098 0.203 0.204
Cl: 0.906 0.346 0.142
Cl: 0.200 0.150 0.958
Cl: 0.800 0.850 0.042
Cl: 0.094 0.654 0.858
I: 0.441 0.568 0.317
I: 0.922 0.184 0.428
I: 0.696 0.006 0.764
I: 0.304 0.994 0.236
I: 0.078 0.816 0.572
I: 0.559 0.432 0.683

SG: P-1, No. 2
Magnetic moment in μB per formula unit: 0.00
Crystal system: triclinic
Distance to the lowest polymorph of the same formula in meV per atom: 15



Record 22
## TaI2Cl3 (PBE)

Data for a relaxed TaI2Cl3 crystal.

a b c (Å): 6.822 7.388 10.280
angles (deg): 108.46 91.82 112.43
Element x y z (fractional)
Cl: 0.937 0.185 0.412
Cl: 0.063 0.815 0.588
Cl: 0.713 0.978 0.753
Cl: 0.110 0.632 0.843
Cl: 0.287 0.022 0.247
Cl: 0.890 0.368 0.157
I: 0.557 0.418 0.666
I: 0.244 0.183 0.954
I: 0.756 0.817 0.046
I: 0.443 0.582 0.334
Ta: 0.101 0.220 0.225
Ta: 0.899 0.780 0.775

SG: P-1, No. 2
Magnetic moment in μB per formula unit: 0.01
Crystal system: triclinic
Distance to the lowest polymorph of the same formula in meV per atom: 0



Record 23
## Te3WICl6 (PBE)

Data for a relaxed Te3WICl6 crystal.

a b c (Å): 11.774 10.752 11.777
angles (deg): 90.00 110.44 90.00
Each line ends with the local moment (μB).
Element x y z (fractional)
Cl: 0.944 0.885 0.099  0.02
Cl: 0.766 0.383 0.834  0.00
Cl: 0.056 0.115 0.901  0.02
Cl: 0.885 0.186 0.124  0.00
Cl: 0.115 0.814 0.876  0.00
Cl: 0.189 0.178 0.702  0.00
Cl: 0.042 0.478 0.868  0.01
Cl: 0.338 0.012 0.939  0.00
Cl: 0.042 0.022 0.368  0.01
Cl: 0.056 0.385 0.401  0.02
Cl: 0.662 0.988 0.061  0.00
Cl: 0.885 0.314 0.624  0.00
Cl: 0.234 0.883 0.666  0.00
Cl: 0.811 0.678 0.798  0.00
Cl: 0.811 0.822 0.298  0.00
Cl: 0.189 0.322 0.202  0.00
Cl: 0.338 0.488 0.439  0.00
Cl: 0.958 0.522 0.132  0.01
Cl: 0.958 0.978 0.632  0.01
Cl: 0.234 0.617 0.166  0.00
Cl: 0.115 0.686 0.376  0.00
Cl: 0.766 0.117 0.334  0.00
Cl: 0.662 0.512 0.561  0.00
Cl: 0.944 0.615 0.599  0.02
Te: 0.440 0.786 0.544  0.00
Te: 0.440 0.714 0.044  0.00
Te: 0.615 0.687 0.951  0.01
Te: 0.512 0.484 0.779  0.03
Te: 0.560 0.286 0.956  0.00
Te: 0.560 0.214 0.456  0.00
Te: 0.488 0.516 0.221  0.03
Te: 0.385 0.187 0.549  0.01
Te: 0.385 0.313 0.049  0.01
Te: 0.512 0.016 0.279  0.03
Te: 0.488 0.984 0.721  0.03
Te: 0.615 0.813 0.451  0.01
W: 0.859 0.498 0.713  0.70
W: 0.141 0.998 0.787  0.71
W: 0.859 0.002 0.213  0.70
W: 0.141 0.502 0.287  0.70
I: 0.276 0.528 0.750  0.02
I: 0.724 0.028 0.750  0.02
I: 0.276 0.972 0.250  0.02
I: 0.724 0.472 0.250  0.02

SG: P2_1/c, No. 14
Magnetic moment in μB per formula unit: 1.00
Crystal system: monoclinic
Total DFT energy (no corrections) in eV/atom: -3.71



Volume values, unit Å³ per cell, following the record order: 138.4 126.9 408.9 168.1 153.1 128.8 639.8 244.8 264.2 279.6 253.0 277.4 224.1 184.9 175.3 187.4 314.0 165.4 439.7 481.0 476.9 447.3 1397.1.